5
Lattice="4.166 0.000 0.000 0.000 4.166 0.000 0.000 0.000 4.795" Properties=species:S:1:pos:R:3 comment="KBeSbC2 (GGA-PBE, optimized geometry)" total_energy_ev_per_atom=-3.51 magnetic_moment_mub_per_cell=0.00 sg="P4/mmm (123)" pbc="T T T"
K 0.000 0.000 0.000
Be 2.083 2.083 2.397
Sb 2.083 2.083 0.000
C 0.000 2.083 2.397
C 2.083 0.000 2.397